Entry 1:
! K2ZrMo | Alexandria | GGA-PBE | relaxed; values from VASP
&SYSTEM
  ibrav = 0, nat = 4, ntyp = 3
/
ATOMIC_SPECIES
K 39.10 K.upf
Zr 91.22 Zr.upf
Mo 95.94 Mo.upf
CELL_PARAMETERS angstrom
-3.902 0.174 2.783
-2.370 -2.617 3.246
5.203 4.190 8.029
ATOMIC_POSITIONS crystal
K 0.994 0.994 0.074
K 0.766 0.766 0.674
Zr 0.235 0.235 0.353
Mo 0.504 0.504 0.399
! SG: Cm, No. 8
! ΔE_f, meV per atom: 896
! ΔE to the lowest computed polymorph, meV/atom: 197.7

=====

Entry 2:
! NaTl2CuCl6 | Alexandria | GGA-PBE | relaxed; values from VASP
&SYSTEM
  ibrav = 0, nat = 20, ntyp = 4
/
ATOMIC_SPECIES
Tl 204.38 Tl.upf
Cu 63.55 Cu.upf
Na 22.99 Na.upf
Cl 35.45 Cl.upf
CELL_PARAMETERS angstrom
0.092 -3.988 -4.990
1.204 -5.488 4.409
-12.383 -1.144 1.956
ATOMIC_POSITIONS crystal
Tl 0.537 0.583 0.732
Tl 0.463 0.417 0.268
Tl 0.037 0.917 0.232
Tl 0.963 0.083 0.768
Cu 0.000 0.500 0.000
Cu 0.500 0.000 0.500
Na 0.000 0.500 0.500
Na 0.500 0.000 0.000
Cl 0.789 0.851 0.562
Cl 0.861 0.772 0.945
Cl 0.711 0.351 0.938
Cl 0.139 0.228 0.055
Cl 0.639 0.272 0.555
Cl 0.211 0.149 0.438
Cl 0.584 0.023 0.215
Cl 0.916 0.523 0.285
Cl 0.416 0.977 0.785
Cl 0.289 0.649 0.062
Cl 0.361 0.728 0.445
Cl 0.084 0.477 0.715
! SG: P2_1/c, No. 14
! Uncorrected formation energy, eV per atom: -0.8876

=====

Entry 3:
! CdAg2Sn2 | Alexandria | GGA-PBE | relaxed; values from VASP
&SYSTEM
  ibrav = 0, nat = 10, ntyp = 3
/
ATOMIC_SPECIES
Ag 107.87 Ag.upf
Sn 118.71 Sn.upf
Cd 112.41 Cd.upf
CELL_PARAMETERS angstrom
-8.413 2.349 1.081
-1.675 -2.144 -8.370
-0.687 -2.860 0.870
ATOMIC_POSITIONS crystal
Ag 0.160 0.660 0.500
Ag 0.660 0.840 0.500
Ag 0.840 0.340 0.500
Ag 0.340 0.160 0.500
Sn 0.363 0.863 0.000
Sn 0.137 0.363 0.000
Sn 0.637 0.137 0.000
Sn 0.863 0.637 0.000
Cd 0.000 0.000 0.000
Cd 0.500 0.500 0.000
! SG: P4/mbm, No. 127
! ΔE_f, meV per atom: 113
! ΔE to the lowest computed polymorph, meV/atom: 63.3

=====

Number 1: E_tot -4.498 eV/atom, total moment 0.00 μB/f.u., D(E_F) 4.94 states/eV/cell. Number 2: E_tot -3.010 eV/atom, total moment 0.11 μB/f.u., D(E_F) 7.72 states/eV/cell. Number 3: E_tot -2.812 eV/atom, total moment 0.00 μB/f.u., D(E_F) 4.19 states/eV/cell.